[1]
! PBE Ac2LaCo, optimized geometry; values from VASP
&SYSTEM
  ibrav = 0, nat = 4, ntyp = 3
/
ATOMIC_SPECIES
Ac 227.00 Ac.upf
Co 58.93 Co.upf
La 138.91 La.upf
CELL_PARAMETERS angstrom
-3.668 -0.104 -1.708
-3.308 -0.231 2.321
-2.767 9.732 0.553
ATOMIC_POSITIONS crystal
Ac 0.278 0.278 0.167
Ac 0.722 0.722 0.833
Co 0.000 0.000 0.000
La 0.500 0.500 0.500
! Density of states at the Fermi level (states/eV per cell): 4.2
! Total moment (μB/atom): 0.000
! DFT total energy (eV per atom): -5.0085
! ΔE_f (eV/atom): 0.054

---

[2]
! PBE Zr2ReSnTe, optimized geometry; values from VASP
&SYSTEM
  ibrav = 0, nat = 5, ntyp = 4
/
ATOMIC_SPECIES
Re 186.21 Re.upf
Te 127.60 Te.upf
Sn 118.71 Sn.upf
Zr 91.22 Zr.upf
CELL_PARAMETERS angstrom
-4.213 -3.242 -0.332
0.271 -0.896 5.324
-3.248 4.133 0.861
ATOMIC_POSITIONS crystal
Re 0.500 0.500 0.500
Te 0.000 0.500 0.000
Sn 0.000 0.000 0.000
Zr 0.000 0.000 0.500
Zr 0.500 0.000 0.000
! Density of states at the Fermi level (states/eV per cell): 3.8
! Energy relative to the elements, uncorrected (eV per atom): 1.800
! Total moment (μB/atom): 0.499
! DFT total energy (eV per atom): -5.5375